3
Lattice="-1.3798 1.3798 6.3585 1.3798 -1.3798 6.3585 1.3798 1.3798 -6.3585" Properties=species:S:1:pos:R:3 comment="AlAgW, optimized geometry, DFT GGA-PBE" sg="I4mm, No. 107" polymorph_energy_mev_per_atom=243 formation_energy_ev_per_atom=0.207 pbc="T T T"
Al 0.0000 0.0000 0.0000
Ag 0.0000 0.0000 4.2476
W 0.0000 0.0000 8.3254